Material: Li2AsBr4
Method: DFT, PBE
State: optimized geometry

Summary:
* total moment: 1.00 μB per formula unit
* formation energy without anion corrections: -819 meV per atom

a b c (Å): 6.852 6.852 6.364
angles (deg): 122.57 122.57 90.00
Last column: magnetic moment on the atom in μB.
Positions (direct):
Li (0.750, 0.250, 0.500)  0.00
Li (0.250, 0.750, 0.500)  0.00
As (0.500, 0.500, 0.000)  0.37
Br (0.866, 0.345, 0.210)  0.04
Br (0.345, 0.866, 0.210)  0.04
Br (0.655, 0.655, 0.790)  0.04
Br (0.134, 0.134, 0.790)  0.04